[1]
This record from Alexandria via LeMat-Bulk describes a geometry-optimized Cs6HAu3Cl2 structure. The functional is PBE-GGA.

Calculated values
* total magnetization: 0.06 μB/f.u.
* VASP energy: -2.67 eV/atom
* DOS(E_F): 0.00 states/eV/atom

a = 8.7165 Å, b = 15.0841 Å, c = 8.8437 Å
α = 90.00°, β = 109.22°, γ = 90.00°
Space group C2/m (No. 12)
Symmetry-distinct sites (fractional):
Cs 0.2374 0.1610 0.2296 [8 per cell]
Cs 0.2444 0.0000 0.7678 [4 per cell]
H 0.0000 0.0000 0.0000 [2 per cell]
Au 0.0000 0.1711 0.5000 [4 per cell]
Au 0.0000 0.5000 0.5000 [2 per cell]
Cl 0.0000 0.3341 0.0000 [4 per cell]

=====

[2]
This record from Alexandria via LeMat-Bulk describes a geometry-optimized Rb3O structure. The functional is PBE-GGA.

Calculated values
* total magnetization: 0.00 μB/f.u.
* VASP energy: -2.64 eV/atom
* DOS(E_F): 0.42 states/eV/atom

a = 15.1853 Å, b = 15.1853 Å, c = 8.4890 Å
α = 90.00°, β = 90.00°, γ = 90.00°
Space group I-4 (No. 82)
Symmetry-distinct sites (fractional):
Rb 0.0487 0.3502 0.0044 [8 per cell]
Rb 0.0928 0.8765 0.2106 [8 per cell]
Rb 0.1196 0.8399 0.8165 [8 per cell]
O 0.0269 0.1850 0.0008 [8 per cell]

=====

[3]
This record from Alexandria via LeMat-Bulk describes a geometry-optimized Tb3Y3Ho2 structure. The functional is PBE-GGA.

Calculated values
* total magnetization: 0.00 μB/f.u.
* DOS(E_F): 2.00 states/eV/atom
* distance to the lowest polymorph of the same formula: 0 meV/atom
* ΔE_f: 0.094 eV/atom

a = 16.1225 Å, b = 5.7001 Å, c = 5.9986 Å
α = 90.00°, β = 110.89°, γ = 90.00°
Space group C2/m (No. 12)
Symmetry-distinct sites (fractional):
Tb 0.0000 0.0000 0.0000 [2 per cell]
Tb 0.1325 0.0000 0.6908 [4 per cell]
Y 0.0000 0.5000 0.5000 [2 per cell]
Y 0.1327 0.5000 0.0779 [4 per cell]
Ho 0.2493 0.0000 0.3171 [4 per cell]

=====

[4]
This record from Alexandria via LeMat-Bulk describes a geometry-optimized Ba2SeI structure. The functional is PBE-GGA.

Calculated values
* total magnetization: 0.87 μB/f.u.
* DOS(E_F): 0.74 states/eV/atom
* distance to the lowest polymorph of the same formula: 264 meV/atom

a = 7.7921 Å, b = 7.7921 Å, c = 14.8667 Å
α = 90.00°, β = 90.00°, γ = 90.00°
Space group I-42d (No. 122)
Symmetry-distinct sites (fractional):
Ba 0.2073 0.2500 0.1250 [8 per cell]
Se 0.0000 0.0000 0.0000 [4 per cell]
I 0.0000 0.0000 0.5000 [4 per cell]

=====

[5]
This record from Alexandria via LeMat-Bulk describes a geometry-optimized Sr2CdHgF structure. The functional is PBE-GGA.

Calculated values
* total magnetization: 0.00 μB/f.u.
* VASP energy: -2.47 eV/atom
* DOS(E_F): 0.50 states/eV/atom

a = 5.1884 Å, b = 5.1884 Å, c = 5.1800 Å
α = 90.00°, β = 90.00°, γ = 90.00°
Space group P4/mmm (No. 123)
Symmetry-distinct sites (fractional):
Sr 0.0000 0.5000 0.0000 [2 per cell]
Cd 0.0000 0.0000 0.5000 [1 per cell]
Hg 0.5000 0.5000 0.5000 [1 per cell]
F 0.0000 0.0000 0.0000 [1 per cell]

=====

[6]
This record from Alexandria via LeMat-Bulk describes a geometry-optimized Li2ZnCu6 structure. The functional is PBE-GGA.

Calculated values
* total magnetization: 0.00 μB/f.u.
* DOS(E_F): 0.37 states/eV/atom
* distance to the lowest polymorph of the same formula: 61 meV/atom
* ΔE_f: -0.004 eV/atom

a = 7.6496 Å, b = 4.9928 Å, c = 6.5471 Å
α = 90.00°, β = 105.13°, γ = 90.00°
Space group C2/m (No. 12)
Symmetry-distinct sites (fractional):
Li 0.1726 0.0000 0.0920 [4 per cell]
Zn 0.0000 0.5000 0.0000 [2 per cell]
Cu 0.0426 0.2458 0.6938 [8 per cell]
Cu 0.2462 0.5000 0.4815 [4 per cell]

=====

[7]
This record from Alexandria via LeMat-Bulk describes a geometry-optimized IrPdW2 structure. The functional is PBE-GGA.

Calculated values
* total magnetization: 0.00 μB/f.u.
* DOS(E_F): 1.34 states/eV/atom
* distance to the lowest polymorph of the same formula: 0 meV/atom
* ΔE_f: 0.421 eV/atom

a = 6.3145 Å, b = 6.3145 Å, c = 6.3145 Å
α = 90.00°, β = 90.00°, γ = 90.00°
Space group Fm-3m (No. 225)
Symmetry-distinct sites (fractional):
Ir 0.0000 0.0000 0.0000 [4 per cell]
Pd 0.0000 0.0000 0.5000 [4 per cell]
W 0.2500 0.2500 0.2500 [8 per cell]

=====

[8]
This record from Alexandria via LeMat-Bulk describes a geometry-optimized NdDyTh2S4 structure. The functional is PBE-GGA.

Calculated values
* total magnetization: 0.00 μB/f.u.
* VASP energy: -7.00 eV/atom
* DOS(E_F): 0.58 states/eV/atom

a = 6.8798 Å, b = 4.0123 Å, c = 7.0246 Å
α = 90.00°, β = 109.28°, γ = 90.00°
Space group P2/m (No. 10)
Symmetry-distinct sites (fractional):
Nd 0.0000 0.0000 0.0000 [1 per cell]
Dy 0.5000 0.5000 0.0000 [1 per cell]
Th 0.0000 0.5000 0.5000 [1 per cell]
Th 0.5000 0.0000 0.5000 [1 per cell]
S 0.2550 0.5000 0.2444 [2 per cell]
S 0.2598 0.0000 0.7601 [2 per cell]